1.
Entry from Alexandria: Ca3Zn2Pb2Au4 after structural relaxation (PBE).

abc: 4.679 4.679 14.208
angles: 90.00 90.00 120.00
Positions (direct):
Ca  0.000  0.000  0.748
Ca  0.000  0.000  0.000
Ca  0.000  0.000  0.252
Zn  0.667  0.333  0.860
Zn  0.333  0.667  0.140
Pb  0.667  0.333  0.429
Pb  0.333  0.667  0.571
Au  0.667  0.333  0.122
Au  0.333  0.667  0.878
Au  0.667  0.333  0.656
Au  0.333  0.667  0.344

DOS at the Fermi energy: 6.10 states/eV/f.u.
ΔH_f (0 K): -0.49 eV/atom
total moment: 0.00 μB/f.u.


2.
Entry from Alexandria: CaPd2Au4 after structural relaxation (PBE).

abc: 5.485 5.645 5.645
angles: 76.35 60.93 60.93
Positions (direct):
Ca  0.000  0.000  0.000
Pd  0.750  0.500  0.500
Pd  0.250  0.500  0.500
Au  0.701  0.000  0.598
Au  0.299  0.000  0.402
Au  0.299  0.402  0.000
Au  0.701  0.598  0.000

DOS at the Fermi energy: 2.98 states/eV/f.u.
ΔH_f (0 K): -0.42 eV/atom
total moment: 0.00 μB/f.u.


3.
Entry from Alexandria: Ca3PdAu after structural relaxation (PBE).

abc: 5.442 5.442 5.442
angles: 90.00 90.00 90.00
Positions (direct):
Ca  0.000  0.500  0.000
Ca  0.000  0.000  0.500
Ca  0.500  0.000  0.000
Au  0.500  0.500  0.500
Pd  0.000  0.000  0.000

DOS at the Fermi energy: 1.87 states/eV/f.u.
ΔH_f (0 K): -0.34 eV/atom
total moment: 0.00 μB/f.u.
excess energy over the best structure of this formula in the dataset: 1.55 eV per formula unit


4.
Entry from Alexandria: Ca3Pd3Au after structural relaxation (PBE).

abc: 4.372 5.621 14.078
angles: 90.00 90.00 112.89
Positions (direct):
Ca  0.196  0.393  0.900
Ca  0.804  0.607  0.100
Ca  0.196  0.393  0.600
Ca  0.804  0.607  0.400
Ca  0.475  0.949  0.750
Ca  0.525  0.051  0.250
Pd  0.907  0.813  0.904
Pd  0.093  0.187  0.096
Pd  0.907  0.813  0.596
Pd  0.093  0.187  0.404
Pd  0.757  0.514  0.750
Pd  0.243  0.486  0.250
Au  0.500  0.000  0.000
Au  0.500  0.000  0.500

DOS at the Fermi energy: 3.53 states/eV/f.u.
ΔH_f (0 K): -0.70 eV/atom
total moment: 0.00 μB/f.u.


5.
Entry from Alexandria: Ca4PdAu after structural relaxation (PBE).

abc: 5.051 5.052 7.160
angles: 89.97 89.98 90.00
Positions (direct):
Ca  0.501  0.997  0.253
Ca  0.501  0.998  0.743
Ca  0.001  0.498  0.743
Ca  0.001  0.497  0.253
Pd  0.001  0.997  0.498
Au  0.501  0.497  0.998

DOS at the Fermi energy: 2.90 states/eV/f.u.
ΔH_f (0 K): -0.54 eV/atom
total moment: 0.00 μB/f.u.
excess energy over the best structure of this formula in the dataset: 0.22 eV per formula unit


6.
Entry from Alexandria: Ca3Pd5Au12 after structural relaxation (PBE).

abc: 13.805 13.805 13.805
angles: 109.47 109.47 109.47
Positions (direct):
Ca  0.750  0.375  0.125
Ca  0.875  0.750  0.125
Ca  0.375  0.750  0.625
Ca  0.250  0.125  0.375
Ca  0.875  0.125  0.250
Ca  0.375  0.625  0.250
Ca  0.625  0.375  0.750
Ca  0.125  0.875  0.750
Ca  0.750  0.875  0.625
Ca  0.625  0.250  0.375
Ca  0.125  0.250  0.875
Ca  0.250  0.625  0.875
Pd  0.125  0.375  0.250
Pd  0.000  0.500  0.000
Pd  0.000  0.000  0.000
Pd  0.375  0.250  0.125
Pd  0.500  0.000  0.500
Pd  0.500  0.500  0.000
Pd  0.125  0.750  0.375
Pd  0.750  0.125  0.875
Pd  0.750  0.625  0.375
Pd  0.375  0.125  0.750
Pd  0.625  0.875  0.250
Pd  0.500  0.500  0.500
Pd  0.500  0.000  0.000
Pd  0.000  0.000  0.500
Pd  0.250  0.375  0.625
Pd  0.250  0.875  0.125
Pd  0.000  0.500  0.500
Pd  0.875  0.250  0.625
Pd  0.625  0.750  0.875
Pd  0.875  0.625  0.750
Au  0.719  0.141  0.058
Au  0.339  0.558  0.417
Au  0.942  0.359  0.281
Au  0.558  0.219  0.141
Au  0.578  0.719  0.661
Au  0.942  0.583  0.161
Au  0.339  0.781  0.422
Au  0.083  0.922  0.141
Au  0.583  0.942  0.661
Au  0.719  0.578  0.161
Au  0.781  0.442  0.359
Au  0.839  0.917  0.058
Au  0.141  0.719  0.558
Au  0.359  0.417  0.078
Au  0.078  0.917  0.359
Au  0.422  0.141  0.583
Au  0.078  0.161  0.219
Au  0.442  0.661  0.083
Au  0.839  0.922  0.281
Au  0.141  0.422  0.083
Au  0.359  0.942  0.781
Au  0.583  0.641  0.422
Au  0.917  0.839  0.558
Au  0.781  0.339  0.922
Au  0.417  0.359  0.578
Au  0.083  0.161  0.442
Au  0.219  0.661  0.078
Au  0.161  0.078  0.719
Au  0.641  0.058  0.219
Au  0.859  0.578  0.917
Au  0.558  0.339  0.917
Au  0.578  0.859  0.417
Au  0.922  0.839  0.781
Au  0.922  0.083  0.641
Au  0.859  0.281  0.442
Au  0.161  0.083  0.942
Au  0.641  0.583  0.922
Au  0.417  0.058  0.339
Au  0.281  0.422  0.839
Au  0.219  0.558  0.641
Au  0.917  0.078  0.859
Au  0.661  0.219  0.578
Au  0.442  0.781  0.859
Au  0.058  0.417  0.839
Au  0.422  0.281  0.339
Au  0.058  0.641  0.719
Au  0.661  0.442  0.583
Au  0.281  0.859  0.942

DOS at the Fermi energy: 5.55 states/eV/f.u.
ΔH_f (0 K): 0.11 eV/atom
total moment: 0.00 μB/f.u.